## AlCdP2 (SCAN)

Data for a crystal of AlCdP2 relaxed with PBEsol.

Calculated values
* distance to the lowest polymorph of the same formula: 0.131 eV per atom
* uncorrected energy: -14.817 eV/atom
* N(E_F): 3.5 states/eV per cell

Cell lengths 7.2204, 3.5178, 6.1754 Å; angles 90.00, 92.62, 90.00 degrees
Closest atoms and distances in Å follow each position.
Space group Cm (No. 8)
Inequivalent atoms, fractional coordinates:
Al: 0.0000 0.0000 0.0000 x2  5 P 2.40-2.49
Cd: 0.2878 0.5000 0.4955 x2  5 P 2.53-2.74
P: 0.2943 0.0000 0.8355 x2  3 Al 2.40-2.49
P: 0.4869 0.0000 0.2699 x2  2 Al 2.43, 3 Cd 2.53-2.70

## AlCdP2 (SCAN)

Data for a crystal of AlCdP2 relaxed with PBEsol.

Calculated values
* distance to the lowest polymorph of the same formula: 0.659 eV per atom
* uncorrected energy: -14.289 eV/atom
* N(E_F): 2.9 states/eV per cell

Cell lengths 3.0060, 3.0060, 27.6332 Å; angles 90.00, 90.00, 120.00 degrees
Closest atoms and distances in Å follow each position.
Space group R3m (No. 160, hexagonal axes)
Inequivalent atoms, fractional coordinates:
Al: 0.0000 0.0000 0.0000 x3  3 P 2.46
Cd: 0.0000 0.0000 0.7508 x3  3 P 2.77, 3 Al 2.90, 6 Cd 3.01
P: 0.0000 0.0000 0.2703 x3  3 Al 2.46
P: 0.0000 0.0000 0.4956 x3  3 Cd 2.77, 6 P 3.01

## AlCdP2 (SCAN)

Data for a crystal of AlCdP2 relaxed with PBEsol.

Calculated values
* distance to the lowest polymorph of the same formula: 0.157 eV per atom
* uncorrected energy: -14.791 eV/atom
* N(E_F): 3.0 states/eV per cell

Cell lengths 4.8854, 4.9161, 6.4161 Å; angles 90.00, 90.00, 90.00 degrees
Closest atoms and distances in Å follow each position.
Space group Amm2 (No. 38)
Inequivalent atoms, fractional coordinates:
Al: 0.0000 0.0000 0.0000 x2  5 P 2.40-2.59
Cd: 0.5000 0.0000 0.5336 x2  5 P 2.51-2.65
P: 0.0000 0.0000 0.3747 x2  3 Al 2.40-2.59, 2 Cd 2.65
P: 0.5000 0.0000 0.9242 x2  2 Al 2.49, 3 Cd 2.51-2.56

## Al2CdP (SCAN)

Data for a crystal of Al2CdP relaxed with PBEsol.

Calculated values
* distance to the lowest polymorph of the same formula: 0.000 eV per atom
* uncorrected energy: -14.072 eV/atom
* N(E_F): 2.5 states/eV per cell

Cell lengths 3.3661, 3.4105, 13.0437 Å; angles 90.00, 90.00, 90.00 degrees
Closest atoms and distances in Å follow each position.
Space group Imm2 (No. 44)
Inequivalent atoms, fractional coordinates:
Al: 0.0000 0.0000 0.0000 x2  4 P 2.49
Al: 0.0000 0.5000 0.1916 x2  2 P 2.47
Cd: 0.0000 0.5000 0.8223 x2  6 Al 2.88-2.94
P: 0.0000 0.0000 0.5527 x2  6 Al 2.47-2.49

## Al2CdP (SCAN)

Data for a crystal of Al2CdP relaxed with PBEsol.

Calculated values
* distance to the lowest polymorph of the same formula: 0.272 eV per atom
* uncorrected energy: -13.800 eV/atom
* N(E_F): 1.6 states/eV per cell

Cell lengths 3.7770, 4.2283, 4.4070 Å; angles 90.00, 90.00, 90.00 degrees
Closest atoms and distances in Å follow each position.
Space group Pmmm (No. 47)
Inequivalent atoms, fractional coordinates:
Al: 0.0000 0.0000 0.0000 x1  4 P 2.83, 4 Al 2.90, 4 Cd 3.05
Al: 0.5000 0.0000 0.5000 x1  4 Cd 2.83, 4 Al 2.90, 4 P 3.05
Cd: 0.0000 0.5000 0.5000 x1  8 Al 2.83-3.05, 4 P 2.90
P: 0.5000 0.5000 0.0000 x1  8 Al 2.83-3.05, 4 Cd 2.90

## AlCdP2 (SCAN)

Data for a crystal of AlCdP2 relaxed with PBEsol.

Calculated values
* distance to the lowest polymorph of the same formula: 0.484 eV per atom
* uncorrected energy: -14.464 eV/atom
* N(E_F): 3.6 states/eV per cell

Cell lengths 3.6817, 5.0603, 7.4115 Å; angles 90.00, 90.00, 90.00 degrees
Closest atoms and distances in Å follow each position.
Space group Cmmm (No. 65)
Inequivalent atoms, fractional coordinates:
Al: 0.0000 0.0000 0.0000 x2  4 P 2.46
Cd: 0.0000 0.0000 0.5000 x2  4 P 2.77
P: 0.0000 0.5000 0.2209 x4  2 Al 2.46

## AlCdPb (SCAN)

Data for a crystal of AlCdPb relaxed with PBEsol.

Calculated values
* distance to the lowest polymorph of the same formula: 0.000 eV per atom
* uncorrected energy: -37.757 eV/atom
* N(E_F): 1.5 states/eV per cell

Cell lengths 4.8064, 4.8064, 3.5623 Å; angles 90.00, 90.00, 120.00 degrees
Closest atoms and distances in Å follow each position.
Space group P3m1 (No. 156)
Inequivalent atoms, fractional coordinates:
Al: 0.0000 0.0000 0.0000 x1  3 Cd 2.78
Cd: 0.3333 0.6667 0.0089 x1  3 Al 2.78
Pb: 0.6667 0.3333 0.5047 x1  6 Al 3.29-3.31, 6 Cd 3.29-3.31, 2 Pb 3.56

## Al2CdPb (SCAN)

Data for a crystal of Al2CdPb relaxed with PBEsol.

Calculated values
* distance to the lowest polymorph of the same formula: 0.000 eV per atom
* uncorrected energy: -30.252 eV/atom
* N(E_F): 1.9 states/eV per cell

Cell lengths 3.2104, 3.2104, 8.3174 Å; angles 90.00, 90.00, 90.00 degrees
Closest atoms and distances in Å follow each position.
Space group P4mm (No. 99)
Inequivalent atoms, fractional coordinates:
Al: 0.0000 0.0000 0.0000 x1  4 Al 2.80, 4 Cd 2.97
Al: 0.5000 0.5000 0.1963 x1  4 Al 2.80
Cd: 0.5000 0.5000 0.7693 x1  4 Al 2.97, 4 Cd 3.21
Pb: 0.0000 0.0000 0.4704 x1  4 Pb 3.21, 4 Al 3.22, 4 Cd 3.37

## AlCdPb (SCAN)

Data for a crystal of AlCdPb relaxed with PBEsol.

Calculated values
* distance to the lowest polymorph of the same formula: 0.030 eV per atom
* uncorrected energy: -37.727 eV/atom
* N(E_F): 4.8 states/eV per cell

Cell lengths 6.7746, 6.7746, 6.7746 Å; angles 90.00, 90.00, 90.00 degrees
Closest atoms and distances in Å follow each position.
Space group F-43m (No. 216)
Inequivalent atoms, fractional coordinates:
Al: 0.0000 0.0000 0.0000 x4  4 Cd 2.93
Cd: 0.2500 0.2500 0.7500 x4  4 Pb 2.93, 4 Al 2.93
Pb: 0.0000 0.0000 0.5000 x4  4 Cd 2.93

## Al2CdPb (SCAN)

Data for a crystal of Al2CdPb relaxed with PBEsol.

Calculated values
* distance to the lowest polymorph of the same formula: 0.133 eV per atom
* uncorrected energy: -30.119 eV/atom
* N(E_F): 1.7 states/eV per cell

Cell lengths 3.4829, 4.9908, 5.0851 Å; angles 90.00, 90.00, 90.00 degrees
Closest atoms and distances in Å follow each position.
Space group Pmmm (No. 47)
Inequivalent atoms, fractional coordinates:
Al: 0.0000 0.0000 0.0000 x1  4 Pb 3.04, 4 Al 3.08
Al: 0.5000 0.0000 0.5000 x1  4 Cd 3.04, 4 Al 3.08
Cd: 0.0000 0.5000 0.5000 x1  4 Al 3.04, 4 Pb 3.08
Pb: 0.5000 0.5000 0.0000 x1  4 Al 3.04, 4 Cd 3.08

## Al3CdPb (SCAN)

Data for a crystal of Al3CdPb relaxed with PBEsol.

Calculated values
* uncorrected energy: -25.219 eV/atom
* N(E_F): 2.8 states/eV per cell

Cell lengths 5.0305, 5.0305, 5.0305 Å; angles 90.00, 90.00, 90.00 degrees
Closest atoms and distances in Å follow each position.
Space group Pm-3m (No. 221)
Inequivalent atoms, fractional coordinates:
Al: 0.0000 0.0000 0.5000 x3  2 Cd 2.52
Cd: 0.0000 0.0000 0.0000 x1  6 Al 2.52
Pb: 0.5000 0.5000 0.5000 x1  12 Al 3.56

## Al2CdPb (SCAN)

Data for a crystal of Al2CdPb relaxed with PBEsol.

Calculated values
* distance to the lowest polymorph of the same formula: 0.030 eV per atom
* uncorrected energy: -30.223 eV/atom
* N(E_F): 3.5 states/eV per cell

Cell lengths 8.9557, 3.1707, 6.2982 Å; angles 90.00, 98.95, 90.00 degrees
Closest atoms and distances in Å follow each position.
Space group Cm (No. 8)
Inequivalent atoms, fractional coordinates:
Al: 0.0000 0.0000 0.0000 x2  3 Al 2.77-2.78, 3 Cd 2.88
Al: 0.2383 0.5000 0.1854 x2  3 Al 2.77-2.78, 1 Pb 3.03, 2 Cd 3.05
Cd: 0.2569 0.0000 0.7770 x2  5 Al 2.88-3.05, 3 Pb 3.09-3.20, 2 Cd 3.17
Pb: 0.4962 0.0000 0.4720 x2  5 Al 3.03-3.37, 3 Cd 3.09-3.20, 2 Pb 3.17

## Al2CdPb (SCAN)

Data for a crystal of Al2CdPb relaxed with PBEsol.

Calculated values
* distance to the lowest polymorph of the same formula: 0.063 eV per atom
* uncorrected energy: -30.189 eV/atom
* N(E_F): 4.5 states/eV per cell

Cell lengths 3.1981, 3.1981, 29.5965 Å; angles 90.00, 90.00, 120.00 degrees
Closest atoms and distances in Å follow each position.
Space group R-3m (No. 166, hexagonal axes)
Inequivalent atoms, fractional coordinates:
Al: 0.0000 0.0000 0.2439 x6  3 Cd 2.94, 6 Al 3.20, 3 Pb 3.23
Cd: 0.0000 0.0000 0.5000 x3  6 Al 2.94, 6 Cd 3.20
Pb: 0.0000 0.0000 0.0000 x3  6 Pb 3.20, 6 Al 3.23

## Y2AlCdPb (SCAN)

Data for a crystal of Y2AlCdPb relaxed with PBEsol.

Calculated values
* uncorrected energy: -33.892 eV/atom
* N(E_F): 2.7 states/eV per cell

Cell lengths 5.5559, 5.5559, 4.7556 Å; angles 90.00, 90.00, 90.00 degrees
Closest atoms and distances in Å follow each position.
Space group P4/mmm (No. 123)
Inequivalent atoms, fractional coordinates:
Y: 0.0000 0.5000 0.0000 x2  2 Cd 2.78
Al: 0.0000 0.0000 0.5000 x1  2 Cd 2.38
Cd: 0.0000 0.0000 0.0000 x1  2 Al 2.38
Pb: 0.5000 0.5000 0.5000 x1  8 Y 3.66, 4 Al 3.93

## TiAl2CdPd (SCAN)

Data for a crystal of TiAl2CdPd relaxed with PBEsol.

Calculated values
* uncorrected energy: -18.894 eV/atom
* N(E_F): 2.5 states/eV per cell

Cell lengths 4.6360, 4.6360, 4.8579 Å; angles 90.00, 90.00, 90.00 degrees
Closest atoms and distances in Å follow each position.
Space group P4/mmm (No. 123)
Inequivalent atoms, fractional coordinates:
Ti: 0.0000 0.0000 0.0000 x1  2 Pd 2.43
Al: 0.0000 0.5000 0.5000 x2  2 Pd 2.32
Cd: 0.5000 0.5000 0.0000 x1  4 Ti 3.28, 8 Al 3.36
Pd: 0.0000 0.0000 0.5000 x1  4 Al 2.32, 2 Ti 2.43

## Al2CdPt (SCAN)

Data for a crystal of Al2CdPt relaxed with PBEsol.

Calculated values
* uncorrected energy: -29.465 eV/atom
* N(E_F): 1.2 states/eV per cell

Cell lengths 4.0986, 4.0986, 3.7867 Å; angles 90.00, 90.00, 90.00 degrees
Closest atoms and distances in Å follow each position.
Space group P4/mmm (No. 123)
Inequivalent atoms, fractional coordinates:
Al: 0.0000 0.5000 0.0000 x2  4 Pt 2.79, 4 Cd 2.79, 4 Al 2.90
Cd: 0.0000 0.0000 0.5000 x1  8 Al 2.79, 4 Pt 2.90
Pt: 0.5000 0.5000 0.5000 x1  8 Al 2.79, 4 Cd 2.90

## AlCd2Pt (SCAN)

Data for a crystal of AlCd2Pt relaxed with PBEsol.

Calculated values
* uncorrected energy: -34.989 eV/atom
* N(E_F): 3.8 states/eV per cell

Cell lengths 3.0125, 3.0125, 27.0209 Å; angles 90.00, 90.00, 120.00 degrees
Closest atoms and distances in Å follow each position.
Space group R3m (No. 160, hexagonal axes)
Inequivalent atoms, fractional coordinates:
Al: 0.0000 0.0000 0.0000 x3  3 Pt 2.51
Cd: 0.0000 0.0000 0.2454 x3  3 Al 2.94, 9 Cd 3.01-3.07
Cd: 0.0000 0.0000 0.4850 x3  3 Pt 2.87, 9 Cd 3.01-3.07
Pt: 0.0000 0.0000 0.7338 x3  3 Al 2.51

## AlCd2Pt (SCAN)

Data for a crystal of AlCd2Pt relaxed with PBEsol.

Calculated values
* uncorrected energy: -34.994 eV/atom
* N(E_F): 2.1 states/eV per cell

Cell lengths 9.2657, 3.0095, 5.0502 Å; angles 90.00, 101.26, 90.00 degrees
Closest atoms and distances in Å follow each position.
Space group Cm (No. 8)
Inequivalent atoms, fractional coordinates:
Al: 0.0000 0.0000 0.0000 x2  3 Pt 2.59-2.87, 2 Cd 2.81
Cd: 0.2415 0.0000 0.7072 x2  5 Cd 2.74-3.01, 4 Pt 2.85-3.04, 3 Al 2.91-2.97
Cd: 0.4794 0.0000 0.4602 x2  5 Cd 2.74-3.01, 2 Al 2.81, 3 Pt 2.90-2.92
Pt: 0.2247 0.5000 0.1798 x2  3 Al 2.59-2.87, 2 Cd 2.85

## AlCdPt (SCAN)

Data for a crystal of AlCdPt relaxed with PBEsol.

Calculated values
* uncorrected energy: -36.678 eV/atom
* N(E_F): 1.9 states/eV per cell

Cell lengths 2.9591, 2.9591, 11.3968 Å; angles 90.00, 90.00, 90.00 degrees
Closest atoms and distances in Å follow each position.
Space group I4mm (No. 107)
Inequivalent atoms, fractional coordinates:
Al: 0.0000 0.0000 0.0000 x2  4 Pt 2.54
Cd: 0.0000 0.0000 0.3094 x2  4 Pt 2.95, 4 Cd 2.96, 4 Al 3.02
Pt: 0.0000 0.0000 0.6269 x2  4 Al 2.54

## AlCdTcPt2 (SCAN)

Data for a crystal of AlCdTcPt2 relaxed with PBEsol.

Calculated values
* uncorrected energy: -41.984 eV/atom
* N(E_F): 2.8 states/eV per cell

Cell lengths 4.4844, 4.4844, 4.7248 Å; angles 90.00, 90.00, 90.00 degrees
Closest atoms and distances in Å follow each position.
Space group P4/mmm (No. 123)
Inequivalent atoms, fractional coordinates:
Al: 0.0000 0.0000 0.0000 x1  4 Pt 2.24, 2 Cd 2.36
Cd: 0.0000 0.0000 0.5000 x1  2 Al 2.36
Tc: 0.5000 0.5000 0.5000 x1  4 Cd 3.17, 8 Pt 3.26
Pt: 0.0000 0.5000 0.0000 x2  2 Al 2.24